Entry 1:
## Th4Te2AsIr (PBE)

Data for a geometry-optimized Th4Te2AsIr structure.

Cell lengths 7.611, 4.192, 7.809 Å; angles 90.00, 107.90, 90.00 degrees
Space group P2/m (No. 10)
Symmetry-distinct sites (fractional):
Th 0.220 0.000 0.208 x2
Th 0.255 0.500 0.784 x2
Te 0.000 0.000 0.500 x1
Te 0.500 0.500 0.500 x1
As 0.500 0.000 0.000 x1
Ir 0.000 0.500 0.000 x1

Computed properties:
Volume in Å³ per cell: 237.1
Calculated total energy in eV/atom: -7.37
Formation energy (no corrections) in eV/atom: -1.19

Entry 2:
## La4ThHg5 (PBE)

Data for a geometry-optimized La4ThHg5 structure.

Cell lengths 3.895, 3.895, 19.425 Å; angles 90.00, 90.00, 90.00 degrees
Space group P4/mmm (No. 123)
Symmetry-distinct sites (fractional):
La 0.000 0.000 0.101 x2
La 0.000 0.000 0.303 x2
Th 0.000 0.000 0.500 x1
Hg 0.500 0.500 0.000 x1
Hg 0.500 0.500 0.202 x2
Hg 0.500 0.500 0.404 x2

Computed properties:
Volume in Å³ per cell: 294.7
Energy of formation in eV per atom: -0.436
Calculated total energy in eV/atom: -3.30

Entry 3:
## KY2Ir (PBE)

Data for a geometry-optimized KY2Ir structure.

Cell lengths 4.309, 4.309, 10.917 Å; angles 90.00, 90.00, 90.00 degrees
Space group I-4m2 (No. 119)
Symmetry-distinct sites (fractional):
K 0.000 0.000 0.000 x2
Y 0.000 0.000 0.500 x2
Y 0.000 0.500 0.750 x2
Ir 0.000 0.500 0.250 x2

Computed properties:
Volume in Å³ per cell: 202.7
Relative energy among the computed polymorphs in eV per atom: 0.711
Energy of formation in eV per atom: 0.366
Calculated total energy in eV/atom: -5.36

Entry 4:
## Na2SiPbS4 (PBE)

Data for a geometry-optimized Na2SiPbS4 structure.

Cell lengths 7.540, 7.987, 11.716 Å; angles 90.00, 90.00, 90.00 degrees
Space group Imma (No. 74)
Symmetry-distinct sites (fractional):
Na 0.000 0.000 0.000 x4
Na 0.250 0.250 0.250 x4
Si 0.250 0.250 0.750 x4
Pb 0.000 0.000 0.500 x4
S 0.000 0.040 0.751 x8
S 0.237 0.250 0.940 x8

Computed properties:
Volume in Å³ per cell: 705.5
Calculated total energy in eV/atom: -4.17
Formation energy (no corrections) in eV/atom: -0.64

Entry 5:
## Zn2RuS2 (PBE)

Data for a geometry-optimized Zn2RuS2 structure.

Cell lengths 3.232, 3.232, 17.242 Å; angles 90.00, 90.00, 90.00 degrees
Space group I4/mmm (No. 139)
Symmetry-distinct sites (fractional):
Zn 0.000 0.000 0.077 x4
Ru 0.000 0.000 0.500 x2
S 0.000 0.500 0.250 x4

Computed properties:
Volume in Å³ per cell: 180.1
Relative energy among the computed polymorphs in eV per atom: 0.081
Calculated total energy in eV/atom: -3.59
Formation energy (no corrections) in eV/atom: 0.42

Entry 6:
## TiV3S8 (PBE)

Data for a geometry-optimized TiV3S8 structure.

Cell lengths 6.7344, 6.7344, 11.1524 Å; angles 90.00, 90.00, 120.00 degrees
Space group P6_3mc (No. 186)
Symmetry-distinct sites (fractional):
Ti 0.3333 0.6667 0.0000 x2
V 0.1789 0.3579 0.7546 x6
S 0.0000 0.0000 0.3629 x2
S 0.0020 0.5010 0.3851 x6
S 0.1682 0.3364 0.1453 x6
S 0.3333 0.6667 0.6215 x2

Computed properties:
Volume in Å³ per cell: 438.0
Calculated total energy in eV/atom: -6.57
Formation energy (no corrections) in eV/atom: -0.88

Entry 7:
## TiBe2Al2 (PBE)

Data for a geometry-optimized TiBe2Al2 structure.

Cell lengths 6.828, 6.828, 2.779 Å; angles 90.00, 90.00, 90.00 degrees
Space group P4/mbm (No. 127)
Symmetry-distinct sites (fractional):
Ti 0.000 0.000 0.000 x2
Be 0.115 0.385 0.000 x4
Al 0.178 0.678 0.500 x4

Computed properties:
Volume in Å³ per cell: 129.6
Relative energy among the computed polymorphs in eV per atom: 0.000
Energy of formation in eV per atom: -0.055
Calculated total energy in eV/atom: -4.62

Entry 8:
## NdSmDy3Tm (PBE)

Data for a geometry-optimized NdSmDy3Tm structure.

Cell lengths 5.898, 11.165, 11.797 Å; angles 90.00, 90.00, 90.00 degrees
Space group Cmcm (No. 63)
Symmetry-distinct sites (fractional):
Nd 0.000 0.000 0.000 x4
Sm 0.000 0.495 0.250 x4
Dy 0.000 0.174 0.250 x4
Dy 0.000 0.328 0.505 x8
Tm 0.000 0.169 0.750 x4

Computed properties:
Volume in Å³ per cell: 776.8
Energy of formation in eV per atom: 0.118
Calculated total energy in eV/atom: -4.51